No. 1
# meta-GGA SCAN LaMg2, single point on PBEsol structure
data_LaMg2
_chemical_formula_sum 'La4 Mg8'
_space_group_name_H-M_alt 'F m -3 m'
_space_group_IT_number 225
_space_group_name_Hall '-F 4 2 3'
_cell_length_a 7.426
_cell_length_b 7.426
_cell_length_c 7.426
_cell_angle_alpha 90.00
_cell_angle_beta 90.00
_cell_angle_gamma 90.00
loop_
_atom_site_label
_atom_site_fract_x
_atom_site_fract_y
_atom_site_fract_z
La1 0.000 0.000 0.000
Mg1 0.250 0.250 0.250
# Energy of formation from the pure elements, meV per atom: 491
# DOS(E_F), states/eV/atom: 0.96
# V, Å³ per cell: 409.58
# Total magnetic moment, μB/f.u.: 0.00

=====

No. 2
# meta-GGA SCAN In2PtPb, single point on PBEsol structure
data_In2PtPb
_chemical_formula_sum 'In4 Pt2 Pb2'
_space_group_name_H-M_alt 'I m m m'
_space_group_IT_number 71
_space_group_name_Hall '-I 2 2'
_cell_length_a 3.056
_cell_length_b 5.453
_cell_length_c 10.946
_cell_angle_alpha 90.00
_cell_angle_beta 90.00
_cell_angle_gamma 90.00
loop_
_atom_site_label
_atom_site_fract_x
_atom_site_fract_y
_atom_site_fract_z
In1 0.000 0.000 0.211
Pt1 0.000 0.500 0.500
Pb1 0.000 0.500 0.000
# Energy of formation from the pure elements, meV per atom: -39
# DOS(E_F), states/eV/atom: 0.46
# V, Å³ per cell: 182.38
# Total magnetic moment, μB/f.u.: 0.00

=====

No. 3
# meta-GGA SCAN ScNiAu2, single point on PBEsol structure
data_ScNiAu2
_chemical_formula_sum 'Sc2 Ni2 Au4'
_space_group_name_H-M_alt 'I -4 m 2'
_space_group_IT_number 119
_space_group_name_Hall 'I -4 -2'
_cell_length_a 3.917
_cell_length_b 3.917
_cell_length_c 8.145
_cell_angle_alpha 90.00
_cell_angle_beta 90.00
_cell_angle_gamma 90.00
loop_
_atom_site_label
_atom_site_fract_x
_atom_site_fract_y
_atom_site_fract_z
Sc1 0.000 0.000 0.000
Ni1 0.000 0.500 0.750
Au1 0.000 0.000 0.500
Au2 0.000 0.500 0.250
# Energy of formation from the pure elements, meV per atom: -647
# DOS(E_F), states/eV/atom: 0.32
# V, Å³ per cell: 124.96
# Total magnetic moment, μB/f.u.: 0.00

=====

Please write out number 3 again, unchanged.
# meta-GGA SCAN ScNiAu2, single point on PBEsol structure
data_ScNiAu2
_chemical_formula_sum 'Sc2 Ni2 Au4'
_space_group_name_H-M_alt 'I -4 m 2'
_space_group_IT_number 119
_space_group_name_Hall 'I -4 -2'
_cell_length_a 3.917
_cell_length_b 3.917
_cell_length_c 8.145
_cell_angle_alpha 90.00
_cell_angle_beta 90.00
_cell_angle_gamma 90.00
loop_
_atom_site_label
_atom_site_fract_x
_atom_site_fract_y
_atom_site_fract_z
Sc1 0.000 0.000 0.000
Ni1 0.000 0.500 0.750
Au1 0.000 0.000 0.500
Au2 0.000 0.500 0.250
# Energy of formation from the pure elements, meV per atom: -647
# DOS(E_F), states/eV/atom: 0.32
# V, Å³ per cell: 124.96
# Total magnetic moment, μB/f.u.: 0.00

=====

Question: Which value of V does entry 2 give?
Answer: 182.38 Å³ per cell